Run i
Density functional theory data (GGA-PBE) for a relaxed Lu2PaGa crystal.

Calculated values
- V (Å³/atom) = 24.0

Cell: 4.6487 4.6487 4.4461 Å, 90.00 90.00 90.00°
Atoms (fractional coordinates):
Lu 0.0000 0.5000 0.0000
Lu 0.5000 0.0000 0.0000
Pa 0.0000 0.0000 0.5000
Ga 0.5000 0.5000 0.5000

Run ii
Density functional theory data (GGA-PBE) for a relaxed Lu2PaGa crystal.

Calculated values
- V (Å³/atom) = 24.3

Cell: 3.3385 3.3385 8.7128 Å, 90.00 90.00 90.00°
Atoms (fractional coordinates):
Lu 0.0000 0.0000 0.2207
Lu 0.0000 0.0000 0.7793
Pa 0.5000 0.5000 0.5000
Ga 0.5000 0.5000 0.0000

Run iii
Density functional theory data (GGA-PBE) for a relaxed Lu2PaGa crystal.

Calculated values
- V (Å³/atom) = 24.7

Cell: 10.2697 10.2697 10.2697 Å, 18.86 18.86 18.86°
Atoms (fractional coordinates):
Lu 0.2433 0.2433 0.2433
Lu 0.7567 0.7567 0.7567
Pa 0.0000 0.0000 0.0000
Ga 0.5000 0.5000 0.5000

Computed relative energies in units of meV per atom: run i 125; run ii 0; run iii 67

Run i
Density functional theory data (GGA-PBE) for a relaxed LuPaGa crystal.

Calculated values
- V (Å³/atom) = 23.5

Cell: 7.1407 7.1407 7.1407 Å, 153.87 153.87 37.29°
Atoms (fractional coordinates):
Lu 0.0000 0.0000 0.0000
Pa 0.6947 0.6947 0.0000
Ga 0.3502 0.3502 0.0000

Run ii
Density functional theory data (GGA-PBE) for a relaxed LuPaGa crystal.

Calculated values
- V (Å³/atom) = 23.7

Cell: 5.0262 5.0262 3.2494 Å, 90.00 90.00 120.00°
Atoms (fractional coordinates):
Lu 0.0000 0.0000 0.0000
Pa 0.6667 0.3333 0.4699
Ga 0.3333 0.6667 0.8094

Computed relative energies in units of meV per atom: run i 0; run ii 177

Run i
Density functional theory data (GGA-PBE) for a relaxed Pm2LuGa crystal.

Calculated values
- V (Å³/atom) = 27.1

Cell: 4.7536 4.7536 4.8039 Å, 90.00 90.00 90.00°
Atoms (fractional coordinates):
Pm 0.0000 0.5000 0.0000
Pm 0.5000 0.0000 0.0000
Lu 0.0000 0.0000 0.5000
Ga 0.5000 0.5000 0.5000

Run ii
Density functional theory data (GGA-PBE) for a relaxed Pm2LuGa crystal.

Calculated values
- V (Å³/atom) = 27.4

Cell: 5.3746 5.3746 5.3746 Å, 60.00 60.00 60.00°
Atoms (fractional coordinates):
Pm 0.2500 0.2500 0.2500
Pm 0.7500 0.7500 0.7500
Lu 0.0000 0.0000 0.0000
Ga 0.5000 0.5000 0.5000

Computed relative energies in units of meV per atom: run i 0; run ii 113

Run i
Density functional theory data (GGA-PBE) for a relaxed PmLu2Ga crystal.

Calculated values
- V (Å³/atom) = 26.8

Cell: 3.4886 3.4886 8.7960 Å, 90.00 90.00 90.00°
Atoms (fractional coordinates):
Pm 0.0000 0.0000 0.0000
Lu 0.5000 0.5000 0.2950
Lu 0.5000 0.5000 0.7050
Ga 0.0000 0.0000 0.5000

Run ii
Density functional theory data (GGA-PBE) for a relaxed PmLu2Ga crystal.

Calculated values
- V (Å³/atom) = 26.0

Cell: 4.7098 4.7098 4.6856 Å, 90.00 90.00 90.00°
Atoms (fractional coordinates):
Pm 0.0000 0.0000 0.0000
Lu 0.0000 0.5000 0.5000
Lu 0.5000 0.0000 0.5000
Ga 0.5000 0.5000 0.0000

Computed relative energies in units of meV per atom: run i 0; run ii 64

Run i
Density functional theory data (GGA-PBE) for a relaxed PrLu2Ga crystal.

Calculated values
- V (Å³/atom) = 26.4

Cell: 4.7417 4.7417 4.7055 Å, 90.00 90.00 90.00°
Atoms (fractional coordinates):
Pr 0.0000 0.0000 0.0000
Lu 0.0000 0.5000 0.5000
Lu 0.5000 0.0000 0.5000
Ga 0.5000 0.5000 0.0000

Run ii
Density functional theory data (GGA-PBE) for a relaxed PrLu2Ga crystal.

Calculated values
- V (Å³/atom) = 27.2

Cell: 3.5018 3.5018 8.8699 Å, 90.00 90.00 90.00°
Atoms (fractional coordinates):
Pr 0.0000 0.0000 0.0000
Lu 0.5000 0.5000 0.2981
Lu 0.5000 0.5000 0.7019
Ga 0.0000 0.0000 0.5000

Computed relative energies in units of meV per atom: run i 74; run ii 0

Run i
Density functional theory data (GGA-PBE) for a relaxed Pr2LuGa crystal.

Calculated values
- V (Å³/atom) = 28.1

Cell: 4.8186 4.8186 4.8457 Å, 90.00 90.00 90.00°
Atoms (fractional coordinates):
Pr 0.0000 0.5000 0.0000
Pr 0.5000 0.0000 0.0000
Lu 0.0000 0.0000 0.5000
Ga 0.5000 0.5000 0.5000

Run ii
Density functional theory data (GGA-PBE) for a relaxed Pr2LuGa crystal.

Calculated values
- V (Å³/atom) = 28.4

Cell: 5.4359 5.4359 5.4359 Å, 60.00 60.00 60.00°
Atoms (fractional coordinates):
Pr 0.2500 0.2500 0.2500
Pr 0.7500 0.7500 0.7500
Lu 0.0000 0.0000 0.0000
Ga 0.5000 0.5000 0.5000

Run iii
Density functional theory data (GGA-PBE) for a relaxed Pr2LuGa crystal.

Calculated values
- V (Å³/atom) = 32.2

Cell: 12.1134 12.1134 12.1134 Å, 16.76 16.76 16.76°
Atoms (fractional coordinates):
Pr 0.0866 0.0866 0.0866
Pr 0.9134 0.9134 0.9134
Lu 0.5000 0.5000 0.5000
Ga 0.0000 0.0000 0.0000

Computed relative energies in units of meV per atom: run i 0; run ii 102; run iii 374

Run i
Density functional theory data (GGA-PBE) for a relaxed Lu2PuGa crystal.

Calculated values
- V (Å³/atom) = 24.6

Cell: 4.6801 4.6801 4.4850 Å, 90.00 90.00 90.00°
Atoms (fractional coordinates):
Lu 0.0000 0.5000 0.0000
Lu 0.5000 0.0000 0.0000
Pu 0.0000 0.0000 0.5000
Ga 0.5000 0.5000 0.5000

Run ii
Density functional theory data (GGA-PBE) for a relaxed Lu2PuGa crystal.

Calculated values
- V (Å³/atom) = 25.9

Cell: 10.3017 10.3017 10.3017 Å, 19.22 19.22 19.22°
Atoms (fractional coordinates):
Lu 0.2394 0.2394 0.2394
Lu 0.7606 0.7606 0.7606
Pu 0.0000 0.0000 0.0000
Ga 0.5000 0.5000 0.5000

Computed relative energies in units of meV per atom: run i 0; run ii 15

Run i
Density functional theory data (GGA-PBE) for a relaxed LuGa2Si crystal.

Calculated values
- V (Å³/atom) = 19.4

Cell: 5.4429 5.4429 5.4429 Å, 46.57 46.57 46.57°
Atoms (fractional coordinates):
Lu 0.0000 0.0000 0.0000
Ga 0.2203 0.2203 0.2203
Ga 0.7797 0.7797 0.7797
Si 0.5000 0.5000 0.5000

Run ii
Density functional theory data (GGA-PBE) for a relaxed LuGa2Si crystal.

Calculated values
- V (Å³/atom) = 18.1

Cell: 4.1361 4.1361 4.2418 Å, 90.00 90.00 90.00°
Atoms (fractional coordinates):
Lu 0.0000 0.0000 0.0000
Ga 0.0000 0.5000 0.5000
Ga 0.5000 0.0000 0.5000
Si 0.5000 0.5000 0.0000

Computed relative energies in units of meV per atom: run i 219; run ii 0

Run i
Density functional theory data (GGA-PBE) for a relaxed SmLu2Ga crystal.

Calculated values
- V (Å³/atom) = 25.8

Cell: 4.6982 4.6982 4.6812 Å, 90.00 90.00 90.00°
Atoms (fractional coordinates):
Sm 0.0000 0.0000 0.0000
Lu 0.0000 0.5000 0.5000
Lu 0.5000 0.0000 0.5000
Ga 0.5000 0.5000 0.0000

Run ii
Density functional theory data (GGA-PBE) for a relaxed SmLu2Ga crystal.

Calculated values
- V (Å³/atom) = 28.6

Cell: 11.3312 11.3312 11.3312 Å, 17.46 17.46 17.46°
Atoms (fractional coordinates):
Sm 0.0000 0.0000 0.0000
Lu 0.1025 0.1025 0.1025
Lu 0.8975 0.8975 0.8975
Ga 0.5000 0.5000 0.5000

Computed relative energies in units of meV per atom: run i 0; run ii 221

Run i
Density functional theory data (GGA-PBE) for a relaxed Sm2LuGa crystal.

Calculated values
- V (Å³/atom) = 27.1

Cell: 5.3549 5.3549 5.3549 Å, 60.00 60.00 60.00°
Atoms (fractional coordinates):
Sm 0.2500 0.2500 0.2500
Sm 0.7500 0.7500 0.7500
Lu 0.0000 0.0000 0.0000
Ga 0.5000 0.5000 0.5000

Run ii
Density functional theory data (GGA-PBE) for a relaxed Sm2LuGa crystal.

Calculated values
- V (Å³/atom) = 28.3

Cell: 3.5622 3.5622 8.9307 Å, 90.00 90.00 90.00°
Atoms (fractional coordinates):
Sm 0.0000 0.0000 0.2131
Sm 0.0000 0.0000 0.7869
Lu 0.5000 0.5000 0.5000
Ga 0.5000 0.5000 0.0000

Computed relative energies in units of meV per atom: run i 120; run ii 0

Run i
Density functional theory data (GGA-PBE) for a relaxed SmLuGa2 crystal.

Calculated values
- V (Å³/atom) = 25.0

Cell: 8.9918 8.9918 8.9918 Å, 23.34 23.34 23.34°
Atoms (fractional coordinates):
Sm 0.0000 0.0000 0.0000
Lu 0.5000 0.5000 0.5000
Ga 0.2471 0.2471 0.2471
Ga 0.7529 0.7529 0.7529

Run ii
Density functional theory data (GGA-PBE) for a relaxed SmLuGa2 crystal.

Calculated values
- V (Å³/atom) = 22.8

Cell: 5.0550 5.0550 5.0550 Å, 60.00 60.00 60.00°
Atoms (fractional coordinates):
Sm 0.0000 0.0000 0.0000
Lu 0.5000 0.5000 0.5000
Ga 0.2500 0.2500 0.2500
Ga 0.7500 0.7500 0.7500

Run iii
Density functional theory data (GGA-PBE) for a relaxed SmLuGa2 crystal.

Calculated values
- V (Å³/atom) = 22.8

Cell: 3.5759 3.5759 7.1290 Å, 90.00 90.00 90.00°
Atoms (fractional coordinates):
Sm 0.0000 0.0000 0.0000
Lu 0.0000 0.0000 0.5000
Ga 0.5000 0.5000 0.2674
Ga 0.5000 0.5000 0.7326

Computed relative energies in units of meV per atom: run i 175; run ii 10; run iii 0

Run i
Density functional theory data (GGA-PBE) for a relaxed LuGaSn2 crystal.

Calculated values
- V (Å³/atom) = 39.5

Cell: 8.1556 8.1556 8.1556 Å, 34.83 34.83 34.83°
Atoms (fractional coordinates):
Lu 0.0000 0.0000 0.0000
Ga 0.5000 0.5000 0.5000
Sn 0.3847 0.3847 0.3847
Sn 0.6153 0.6153 0.6153

Run ii
Density functional theory data (GGA-PBE) for a relaxed LuGaSn2 crystal.

Calculated values
- V (Å³/atom) = 23.5

Cell: 4.4817 4.4817 4.6872 Å, 90.00 90.00 90.00°
Atoms (fractional coordinates):
Lu 0.0000 0.0000 0.0000
Ga 0.5000 0.5000 0.0000
Sn 0.0000 0.5000 0.5000
Sn 0.5000 0.0000 0.5000

Computed relative energies in units of meV per atom: run i 687; run ii 0